NdPaZnTc | GGA-PBE | optimized geometry

Cell and atoms, written as POSCAR:
```
NdPaZnTc
1.0
5.000 0.000 0.000
2.500 4.330 0.000
2.500 1.443 4.082
Tc Pa Nd Zn
1 1 1 1
direct
0.500 0.500 0.500
0.750 0.750 0.750
0.250 0.250 0.250
0.000 0.000 0.000
```

Properties
Electronic total energy   -6.442 eV/atom
Magnetization   0.00 μB per formula unit
Formation enthalpy at 0 K   0.034 eV/atom